(1)
VASP calculation (PBE-GGA) on a geometry-optimized CaTeO2F structure.

Cell: 4.467 4.467 4.104 Å, 90.00 90.00 90.00°
Fractional coordinates of all 5 atoms:
1 Ca 0.000 0.000 0.000
2 Te 0.500 0.500 0.500
3 O 0.000 0.500 0.000
4 O 0.500 0.000 0.000
5 F 0.000 0.000 0.500

## Properties
Formation energy without anion corrections, eV per atom: -1.12
DFT total energy, eV/f.u.: -22.53
Total moment, μB per formula unit: 0.000



(2)
VASP calculation (PBE-GGA) on a geometry-optimized PuZrW structure.

Cell: 13.779 13.779 13.779 Å, 22.89 22.89 22.89°
Fractional coordinates of all 18 atoms:
1 Pu 0.244 0.244 0.680
2 Pu 0.244 0.680 0.244
3 Pu 0.320 0.756 0.756
4 Pu 0.680 0.244 0.244
5 Pu 0.756 0.320 0.756
6 Pu 0.756 0.756 0.320
7 Zr 0.233 0.233 0.233
8 Zr 0.317 0.317 0.317
9 Zr 0.461 0.461 0.461
10 Zr 0.539 0.539 0.539
11 Zr 0.683 0.683 0.683
12 Zr 0.767 0.767 0.767
13 W 0.000 0.000 0.000
14 W 0.000 0.000 0.500
15 W 0.000 0.500 0.000
16 W 0.111 0.111 0.111
17 W 0.500 0.000 0.000
18 W 0.889 0.889 0.889

## Properties
Formation energy, meV/atom: 197
DFT total energy, eV/f.u.: -35.24
Total moment, μB per formula unit: 0.000



(3)
VASP calculation (PBE-GGA) on a geometry-optimized Os5W structure.

Cell: 4.388 7.336 7.336 Å, 21.75 90.00 90.00°
Fractional coordinates of all 6 atoms:
1 Os 0.000 0.000 0.000
2 Os 0.000 0.332 0.332
3 Os 0.000 0.665 0.665
4 Os 0.500 0.113 0.113
5 Os 0.500 0.776 0.776
6 W 0.500 0.443 0.443

## Properties
ΔE to the lowest computed polymorph, meV/atom: 18.2
Formation energy, meV/atom: -11
DFT total energy, eV/f.u.: -69.17
Total moment, μB per formula unit: 0.000



(4)
VASP calculation (PBE-GGA) on a geometry-optimized Ce2ZnGe4Rh3 structure.

Cell: 4.257 4.257 10.191 Å, 90.00 90.00 90.00°
Fractional coordinates of all 10 atoms:
1 Ce 0.000 0.500 0.245
2 Ce 0.500 0.000 0.755
3 Zn 0.000 0.000 0.500
4 Ge 0.000 0.000 0.000
5 Ge 0.000 0.500 0.637
6 Ge 0.500 0.000 0.363
7 Ge 0.500 0.500 0.000
8 Rh 0.000 0.500 0.875
9 Rh 0.500 0.000 0.125
10 Rh 0.500 0.500 0.500

## Properties
Formation energy, meV/atom: -746
DFT total energy, eV/f.u.: -61.12
Total moment, μB per formula unit: 0.593



(5)
VASP calculation (PBE-GGA) on a geometry-optimized Rb5PrO4 structure.

Cell: 9.095 9.095 7.780 Å, 104.60 104.60 24.58°
Fractional coordinates of all 10 atoms:
1 Rb 0.000 0.000 0.000
2 Rb 0.337 0.337 0.629
3 Rb 0.344 0.344 0.173
4 Rb 0.656 0.656 0.827
5 Rb 0.663 0.663 0.371
6 Pr 0.000 0.000 0.500
7 O 0.143 0.143 0.593
8 O 0.499 0.499 0.711
9 O 0.501 0.501 0.289
10 O 0.857 0.857 0.407

## Properties
Formation energy without anion corrections, eV per atom: -1.51
DFT total energy, eV/f.u.: -44.54
Total moment, μB per formula unit: 0.196



(6)
VASP calculation (PBE-GGA) on a geometry-optimized Pr2HoI structure.

Cell: 12.048 12.048 12.048 Å, 17.53 17.53 17.53°
Fractional coordinates of all 4 atoms:
1 Pr 0.094 0.094 0.094
2 Pr 0.906 0.906 0.906
3 Ho 0.000 0.000 0.000
4 I 0.500 0.500 0.500

## Properties
ΔE to the lowest computed polymorph, meV/atom: 271.3
Formation energy without anion corrections, eV per atom: -0.13
DFT total energy, eV/f.u.: -16.19
Total moment, μB per formula unit: 0.120



(7)
VASP calculation (PBE-GGA) on a geometry-optimized InPtCl2 structure.

Cell: 3.385 3.415 7.517 Å, 90.00 90.00 90.00°
Fractional coordinates of all 4 atoms:
1 In 0.000 0.000 0.000
2 Pt 0.000 0.000 0.500
3 Cl 0.500 0.500 0.287
4 Cl 0.500 0.500 0.713

## Properties
ΔE to the lowest computed polymorph, meV/atom: 668.8
Formation energy without anion corrections, eV per atom: 0.23
DFT total energy, eV/f.u.: -11.55
Total moment, μB per formula unit: 1.035



(8)
VASP calculation (PBE-GGA) on a geometry-optimized ZnGeRh structure.

Cell: 4.739 4.739 4.739 Å, 139.84 139.84 58.10°
Fractional coordinates of all 3 atoms:
1 Zn 0.000 0.000 0.000
2 Ge 0.322 0.322 0.000
3 Rh 0.672 0.672 0.000

## Properties
Formation energy, meV/atom: -322
DFT total energy, eV/f.u.: -14.21
Total moment, μB per formula unit: 0.000



(9)
VASP calculation (PBE-GGA) on a geometry-optimized Sc2ReSn structure.

Cell: 6.240 6.240 6.240 Å, 101.75 101.75 126.36°
Fractional coordinates of all 8 atoms:
1 Sc 0.066 0.625 0.941
2 Sc 0.375 0.316 0.441
3 Sc 0.684 0.125 0.059
4 Sc 0.875 0.934 0.559
5 Re 0.000 0.000 0.000
6 Re 0.750 0.250 0.500
7 Sn 0.250 0.750 0.500
8 Sn 0.500 0.500 0.000

## Properties
Formation energy, meV/atom: 228
DFT total energy, eV/f.u.: -28.20
Total moment, μB per formula unit: 0.000



(10)
VASP calculation (PBE-GGA) on a geometry-optimized SbTeI2N structure.

Cell: 6.279 6.279 3.943 Å, 90.00 90.00 90.00°
Fractional coordinates of all 5 atoms:
1 Sb 0.000 0.000 0.000
2 Te 0.500 0.500 0.500
3 I 0.000 0.500 0.000
4 I 0.500 0.000 0.000
5 N 0.000 0.000 0.500

## Properties
ΔE to the lowest computed polymorph, meV/atom: 0.0
Formation energy without anion corrections, eV per atom: 0.77
DFT total energy, eV/f.u.: -14.83
Total moment, μB per formula unit: 0.000



(11)
VASP calculation (PBE-GGA) on a geometry-optimized HfPdPtAu structure.

Cell: 4.607 4.607 4.607 Å, 60.00 60.00 60.00°
Fractional coordinates of all 4 atoms:
1 Hf 0.000 0.000 0.000
2 Pd 0.250 0.250 0.250
3 Pt 0.750 0.750 0.750
4 Au 0.500 0.500 0.500

## Properties
ΔE to the lowest computed polymorph, meV/atom: 123.2
Formation energy, meV/atom: -697
DFT total energy, eV/f.u.: -27.25
Total moment, μB per formula unit: 0.000



(12)
VASP calculation (PBE-GGA) on a geometry-optimized Ac12P3Ir5 structure.

Cell: 15.553 15.553 15.553 Å, 109.47 109.47 109.47°
Fractional coordinates of all 80 atoms:
1 Ac 0.039 0.213 0.129
2 Ac 0.039 0.325 0.910
3 Ac 0.084 0.713 0.675
4 Ac 0.084 0.871 0.410
5 Ac 0.090 0.629 0.416
6 Ac 0.090 0.961 0.675
7 Ac 0.129 0.039 0.213
8 Ac 0.129 0.590 0.916
9 Ac 0.175 0.213 0.584
10 Ac 0.175 0.461 0.590
11 Ac 0.213 0.129 0.039
12 Ac 0.213 0.584 0.175
13 Ac 0.287 0.325 0.916
14 Ac 0.287 0.461 0.371
15 Ac 0.325 0.910 0.039
16 Ac 0.325 0.916 0.287
17 Ac 0.371 0.287 0.461
18 Ac 0.371 0.584 0.910
19 Ac 0.410 0.084 0.871
20 Ac 0.410 0.825 0.539
21 Ac 0.416 0.090 0.629
22 Ac 0.416 0.825 0.787
23 Ac 0.461 0.371 0.287
24 Ac 0.461 0.590 0.175
25 Ac 0.539 0.410 0.825
26 Ac 0.539 0.629 0.713
27 Ac 0.584 0.175 0.213
28 Ac 0.584 0.910 0.371
29 Ac 0.590 0.175 0.461
30 Ac 0.590 0.916 0.129
31 Ac 0.629 0.416 0.090
32 Ac 0.629 0.713 0.539
33 Ac 0.675 0.084 0.713
34 Ac 0.675 0.090 0.961
35 Ac 0.713 0.539 0.629
36 Ac 0.713 0.675 0.084
37 Ac 0.787 0.416 0.825
38 Ac 0.787 0.871 0.961
39 Ac 0.825 0.539 0.410
40 Ac 0.825 0.787 0.416
41 Ac 0.871 0.410 0.084
42 Ac 0.871 0.961 0.787
43 Ac 0.910 0.039 0.325
44 Ac 0.910 0.371 0.584
45 Ac 0.916 0.129 0.590
46 Ac 0.916 0.287 0.325
47 Ac 0.961 0.675 0.090
48 Ac 0.961 0.787 0.871
49 P 0.125 0.250 0.375
50 P 0.125 0.375 0.750
51 P 0.250 0.375 0.125
52 P 0.250 0.875 0.625
53 P 0.375 0.125 0.250
54 P 0.375 0.750 0.125
55 P 0.625 0.250 0.875
56 P 0.625 0.875 0.750
57 P 0.750 0.125 0.375
58 P 0.750 0.625 0.875
59 P 0.875 0.625 0.250
60 P 0.875 0.750 0.625
61 Ir 0.000 0.000 0.000
62 Ir 0.000 0.000 0.500
63 Ir 0.000 0.500 0.000
64 Ir 0.000 0.500 0.500
65 Ir 0.125 0.750 0.875
66 Ir 0.125 0.875 0.250
67 Ir 0.250 0.125 0.875
68 Ir 0.250 0.625 0.375
69 Ir 0.375 0.250 0.625
70 Ir 0.375 0.625 0.750
71 Ir 0.500 0.000 0.000
72 Ir 0.500 0.000 0.500
73 Ir 0.500 0.500 0.000
74 Ir 0.500 0.500 0.500
75 Ir 0.625 0.375 0.250
76 Ir 0.625 0.750 0.375
77 Ir 0.750 0.375 0.625
78 Ir 0.750 0.875 0.125
79 Ir 0.875 0.125 0.750
80 Ir 0.875 0.250 0.125

## Properties
Formation energy, meV/atom: -482
DFT total energy, eV/f.u.: -119.48
Total moment, μB per formula unit: 0.001



(13)
VASP calculation (PBE-GGA) on a geometry-optimized BaGdSn2 structure.

Cell: 6.974 6.974 6.974 Å, 43.35 43.35 43.35°
Fractional coordinates of all 4 atoms:
1 Ba 0.000 0.000 0.000
2 Gd 0.500 0.500 0.500
3 Sn 0.225 0.225 0.225
4 Sn 0.775 0.775 0.775

## Properties
Formation energy, meV/atom: -474
DFT total energy, eV/f.u.: -25.90
Total moment, μB per formula unit: 7.413



(14)
VASP calculation (PBE-GGA) on a geometry-optimized B3SbN structure.

Cell: 3.732 3.732 3.732 Å, 90.00 90.00 90.00°
Fractional coordinates of all 5 atoms:
1 B 0.000 0.000 0.500
2 B 0.000 0.500 0.000
3 B 0.500 0.000 0.000
4 Sb 0.500 0.500 0.500
5 N 0.000 0.000 0.000

## Properties
ΔE to the lowest computed polymorph, meV/atom: 0.0
Formation energy without anion corrections, eV per atom: 1.86
DFT total energy, eV/f.u.: -23.20
Total moment, μB per formula unit: 0.000



(15)
VASP calculation (PBE-GGA) on a geometry-optimized MgCd5Ga2 structure.

Cell: 5.841 5.841 19.691 Å, 90.00 90.00 148.91°
Fractional coordinates of all 16 atoms:
1 Mg 0.194 0.806 0.750
2 Mg 0.806 0.194 0.250
3 Cd 0.060 0.940 0.613
4 Cd 0.060 0.940 0.887
5 Cd 0.365 0.635 0.519
6 Cd 0.365 0.635 0.981
7 Cd 0.461 0.539 0.750
8 Cd 0.539 0.461 0.250
9 Cd 0.635 0.365 0.019
10 Cd 0.635 0.365 0.481
11 Cd 0.940 0.060 0.113
12 Cd 0.940 0.060 0.387
13 Ga 0.204 0.796 0.141
14 Ga 0.204 0.796 0.359
15 Ga 0.796 0.204 0.641
16 Ga 0.796 0.204 0.859

## Properties
Formation energy, meV/atom: 9
DFT total energy, eV/f.u.: -12.15
Total moment, μB per formula unit: 0.000